Li2MoPb SCAN PBEsol geometry; size of the total moment = 0.00 μB per cell; E = -28.497 eV/atom; DFT formation energy = 0.3650 eV/atom; SG = Cmmm
1.0
-0.967 1.212 -2.345
-2.184 -1.759 0.200
-4.530 6.204 5.074
Li Mo Pb
2 1 1
direct
0.000 0.000 0.265
0.000 0.000 0.735
0.500 0.500 0.500
0.500 0.500 0.000